# Nd3Sm6Ho2Tl (PBE, optimized geometry)
# N(E_F) = 15.62 states/eV/f.u.
# formation energy from the elements = -0.008 eV/atom
# V = 32.70 A^3/atom
# total moment = 0.0 μB per formula unit
data_Nd3Sm6Ho2Tl
_chemical_formula_sum 'Nd6 Sm12 Ho4 Tl2'
_cell_length_a 6.233
_cell_length_b 10.835
_cell_length_c 11.815
_cell_angle_alpha 90.00
_cell_angle_beta 100.36
_cell_angle_gamma 90.00
_symmetry_space_group_name_H-M 'C 1 2/m 1'
_symmetry_Int_Tables_number 12
loop_
_symmetry_equiv_pos_as_xyz
'x,y,z'
'-x,-y,-z'
'-x,y,-z'
'x,-y,z'
'x+1/2,y+1/2,z'
'-x+1/2,-y+1/2,-z'
'-x+1/2,y+1/2,-z'
'x+1/2,-y+1/2,z'
loop_
_atom_site_label
_atom_site_type_symbol
_atom_site_fract_x
_atom_site_fract_y
_atom_site_fract_z
_atom_site_occupancy
Nd1 Nd 0.000 0.000 0.000 1
Nd2 Nd 0.000 0.332 0.000 1
Sm1 Sm 0.243 0.336 0.743 1
Sm2 Sm 0.247 0.500 0.255 1
Ho1 Ho 0.000 0.166 0.500 1
Tl1 Tl 0.000 0.500 0.500 1


# Nd2SmHoTm2 (PBE, optimized geometry)
# N(E_F) = 10.10 states/eV/f.u.
# formation energy from the elements = 0.068 eV/atom
# V = 32.44 A^3/atom
# total moment = 0.0 μB per formula unit
data_Nd2SmHoTm2
_chemical_formula_sum 'Nd4 Sm2 Ho2 Tm4'
_cell_length_a 7.040
_cell_length_b 9.786
_cell_length_c 5.650
_cell_angle_alpha 90.00
_cell_angle_beta 90.00
_cell_angle_gamma 90.00
_symmetry_space_group_name_H-M 'P n n m'
_symmetry_Int_Tables_number 58
loop_
_symmetry_equiv_pos_as_xyz
'x,y,z'
'-x,-y,-z'
'-x,-y,z'
'x,y,-z'
'x+1/2,-y+1/2,-z+1/2'
'-x+1/2,y+1/2,z+1/2'
'-x+1/2,y+1/2,-z+1/2'
'x+1/2,-y+1/2,z+1/2'
loop_
_atom_site_label
_atom_site_type_symbol
_atom_site_fract_x
_atom_site_fract_y
_atom_site_fract_z
_atom_site_occupancy
Nd1 Nd 0.248 0.167 0.000 1
Sm1 Sm 0.000 0.500 0.000 1
Ho1 Ho 0.000 0.000 0.500 1
Tm1 Tm 0.249 0.333 0.500 1


# NdSm6Ho2Tm (PBE, optimized geometry)
# N(E_F) = 14.05 states/eV/f.u.
# formation energy from the elements = 0.117 eV/atom
# V = 33.36 A^3/atom
# total moment = 0.0 μB per formula unit
data_NdSm6Ho2Tm
_chemical_formula_sum 'Nd4 Sm24 Ho8 Tm4'
_cell_length_a 9.231
_cell_length_b 15.186
_cell_length_c 9.587
_cell_angle_alpha 90.00
_cell_angle_beta 96.75
_cell_angle_gamma 90.00
_symmetry_space_group_name_H-M 'C 1 2/c 1'
_symmetry_Int_Tables_number 15
loop_
_symmetry_equiv_pos_as_xyz
'x,y,z'
'-x,-y,-z'
'-x,y,-z+1/2'
'x,-y,z+1/2'
'x+1/2,y+1/2,z'
'-x+1/2,-y+1/2,-z'
'-x+1/2,y+1/2,-z+1/2'
'x+1/2,-y+1/2,z+1/2'
loop_
_atom_site_label
_atom_site_type_symbol
_atom_site_fract_x
_atom_site_fract_y
_atom_site_fract_z
_atom_site_occupancy
Nd1 Nd 0.000 0.027 0.250 1
Sm1 Sm 0.061 0.181 0.945 1
Sm2 Sm 0.098 0.390 0.118 1
Sm3 Sm 0.214 0.224 0.314 1
Ho1 Ho 0.247 0.450 0.453 1
Tm1 Tm 0.000 0.411 0.750 1


Q: What is the N(E_F) in the third record?
A: 14.05 states/eV/f.u.